[1]
The following is a PBE calculation of a relaxed FeTePt4 crystal, from the Alexandria database.

a = 5.329 Å, b = 5.329 Å, c = 5.329 Å
α = 60.00°, β = 60.00°, γ = 60.00°
Last column: magnetic moment on the atom in μB.
Positions (direct):
Fe1 0.000 0.000 0.000  3.32
Te1 0.750 0.750 0.750  -0.04
Pt1 0.876 0.375 0.375  0.09
Pt2 0.375 0.375 0.876  0.09
Pt3 0.375 0.876 0.375  0.09
Pt4 0.375 0.375 0.375  0.09

calculated density	15.0	Mg/m³
calculated volume	107.02	Å³/cell
uncorrected energy	-34.3	eV for the cell shown
magnetization	3.66	Bohr magnetons per cell
DOS at the Fermi energy	6.417	states/eV/f.u.

[2]
The following is a PBE calculation of a relaxed GaIrW crystal, from the Alexandria database.

a = 2.854 Å, b = 2.854 Å, c = 5.885 Å
α = 104.03°, β = 104.03°, γ = 90.00°
Positions (direct):
Ir1 0.668 0.668 0.335
Ga1 0.329 0.329 0.659
W1 0.003 0.003 0.006

calculated density	16.4	Mg/m³
ΔH_f (0 K)	-0.55	eV per formula unit
calculated volume	45.02	Å³/cell
magnetization	0.00	Bohr magnetons per cell
DOS at the Fermi energy	1.544	states/eV/f.u.

[3]
The following is a PBE calculation of a relaxed BiRuCl2 crystal, from the Alexandria database.

a = 6.748 Å, b = 6.748 Å, c = 6.827 Å
α = 60.38°, β = 60.38°, γ = 90.00°
Positions (direct):
Ru1 0.500 0.500 0.000
Ru2 0.250 0.750 0.500
Bi1 0.000 0.000 0.000
Bi2 0.750 0.250 0.500
Cl1 0.510 0.125 0.250
Cl2 0.240 0.625 0.250
Cl3 0.375 0.490 0.750
Cl4 0.875 0.760 0.750

calculated density	5.7	Mg/m³
calculated volume	222.32	Å³/cell
magnetization	0.00	Bohr magnetons per cell
DOS at the Fermi energy	4.545	states/eV/f.u.
energy above the most stable polymorph in this dataset	1.22	eV per formula unit

[4]
The following is a PBE calculation of a relaxed BaHF3 crystal, from the Alexandria database.

a = 4.195 Å, b = 4.777 Å, c = 8.617 Å
α = 73.92°, β = 90.00°, γ = 90.00°
Positions (direct):
Ba1 0.250 0.658 0.684
Ba2 0.750 0.342 0.316
H1 0.000 0.000 0.000
H2 0.500 0.000 0.000
F1 0.250 0.229 0.542
F2 0.750 0.771 0.458
F3 0.250 0.031 0.937
F4 0.750 0.969 0.063
F5 0.250 0.418 0.155
F6 0.750 0.582 0.845

calculated density	3.9	Mg/m³
calculated volume	165.91	Å³/cell
magnetization	0.00	Bohr magnetons per cell
DOS at the Fermi energy	0.000	states/eV/f.u.
energy above the most stable polymorph in this dataset	0.63	eV per formula unit

[5]
The following is a PBE calculation of a relaxed ReMo2Os crystal, from the Alexandria database.

a = 4.289 Å, b = 2.726 Å, c = 5.398 Å
α = 76.33°, β = 90.00°, γ = 90.00°
Positions (direct):
Mo1 0.000 0.041 0.002
Mo2 0.500 0.205 0.250
Os1 0.000 0.445 0.501
Re1 0.500 0.809 0.747

calculated density	15.4	Mg/m³
ΔH_f (0 K)	0.71	eV per formula unit
calculated volume	61.33	Å³/cell
magnetization	0.00	Bohr magnetons per cell
DOS at the Fermi energy	4.125	states/eV/f.u.

[6]
The following is a PBE calculation of a relaxed YMg2RhS crystal, from the Alexandria database.

a = 4.819 Å, b = 4.789 Å, c = 4.819 Å
α = 90.00°, β = 90.00°, γ = 90.00°
Positions (direct):
Y1 0.500 0.500 0.500
S1 0.000 0.500 0.000
Rh1 0.000 0.000 0.000
Mg1 0.000 0.000 0.500
Mg2 0.500 0.000 0.000

calculated density	4.1	Mg/m³
calculated volume	111.22	Å³/cell
uncorrected energy	-21.8	eV for the cell shown
magnetization	0.00	Bohr magnetons per cell
DOS at the Fermi energy	4.148	states/eV/f.u.

[7]
The following is a PBE calculation of a relaxed ZnCrTe crystal, from the Alexandria database.

a = 3.968 Å, b = 3.968 Å, c = 4.983 Å
α = 90.00°, β = 90.00°, γ = 120.00°
Last column: magnetic moment on the atom in μB.
Positions (direct):
Cr1 0.000 0.000 0.004  3.66
Te1 0.667 0.333 0.310  -0.10
Zn1 0.333 0.667 0.686  0.01

calculated density	6.0	Mg/m³
calculated volume	67.94	Å³/cell
magnetization	4.08	Bohr magnetons per cell
DOS at the Fermi energy	1.136	states/eV/f.u.
energy above the most stable polymorph in this dataset	0.77	eV per formula unit

[8]
The following is a PBE calculation of a relaxed Nd6Sb5As crystal, from the Alexandria database.

a = 7.765 Å, b = 7.771 Å, c = 7.768 Å
α = 59.99°, β = 80.39°, γ = 70.50°
Positions (direct):
Sb1 0.500 0.170 0.660
Sb2 0.000 0.334 0.332
Sb3 0.500 0.500 0.000
Sb4 0.000 0.666 0.668
Sb5 0.500 0.830 0.340
As1 0.000 0.000 0.000
Nd1 0.756 0.081 0.324
Nd2 0.244 0.596 0.324
Nd3 0.246 0.241 0.000
Nd4 0.754 0.759 0.000
Nd5 0.756 0.404 0.676
Nd6 0.244 0.919 0.676

calculated density	6.7	Mg/m³
calculated volume	382.61	Å³/cell
uncorrected energy	-68.6	eV for the cell shown
magnetization	0.00	Bohr magnetons per cell
DOS at the Fermi energy	1.778	states/eV/f.u.